No. 1
Density functional theory data (GGA-PBE) for a geometry-optimized Ho4Tl5Hg structure.

abc: 9.0697 9.0697 6.4835
angles: 108.22 108.22 32.17
With the nearest neighbours (Å) after each atom.
Atoms (fractional coordinates):
Ho: 0.0854 0.0854 0.3371  7 Tl 3.18-3.38, 2 Hg 3.34
Ho: 0.3024 0.3024 0.8828  7 Tl 3.17-3.34, 1 Hg 3.28
Ho: 0.6976 0.6976 0.1172  7 Tl 3.17-3.34, 1 Hg 3.28
Ho: 0.9146 0.9146 0.6629  7 Tl 3.18-3.38, 2 Hg 3.34
Tl: 0.1072 0.1072 0.8492  6 Ho 3.17-3.34, 2 Hg 3.46, 2 Tl 3.49
Tl: 0.2957 0.2957 0.3867  6 Ho 3.18-3.38, 3 Tl 3.39-3.54
Tl: 0.5000 0.5000 0.5000  2 Hg 3.24, 4 Ho 3.27, 6 Tl 3.39-3.49
Tl: 0.7043 0.7043 0.6133  6 Ho 3.18-3.38, 3 Tl 3.39-3.54
Tl: 0.8928 0.8928 0.1508  6 Ho 3.17-3.34, 2 Hg 3.46, 2 Tl 3.49
Hg: 0.5000 0.5000 0.0000  6 Tl 3.24-3.46, 6 Ho 3.28-3.34

Output
symmetry: No. 12
E above lowest polymorph: 0.000 eV/atom

No. 2
Density functional theory data (GGA-PBE) for a geometry-optimized HoTlHg6 structure.

abc: 4.6787 4.6787 9.3125
angles: 90.00 90.00 90.00
With the nearest neighbours (Å) after each atom.
Atoms (fractional coordinates):
Ho: 0.0000 0.0000 0.0000  12 Hg 3.24-3.31
Tl: 0.0000 0.0000 0.5000  12 Hg 3.31-3.37
Hg: 0.0000 0.5000 0.2401  8 Hg 3.24-3.37, 2 Ho 3.24, 2 Tl 3.37
Hg: 0.0000 0.5000 0.7599  8 Hg 3.24-3.37, 2 Ho 3.24, 2 Tl 3.37
Hg: 0.5000 0.0000 0.2401  8 Hg 3.24-3.37, 2 Ho 3.24, 2 Tl 3.37
Hg: 0.5000 0.0000 0.7599  8 Hg 3.24-3.37, 2 Ho 3.24, 2 Tl 3.37
Hg: 0.5000 0.5000 0.0000  8 Hg 3.24, 4 Ho 3.31
Hg: 0.5000 0.5000 0.5000  4 Tl 3.31, 8 Hg 3.37

Output
symmetry: No. 123
E above lowest polymorph: 0.000 eV/atom

No. 3
Density functional theory data (GGA-PBE) for a geometry-optimized HoTlHg2 structure.

abc: 4.8302 4.8302 4.3125
angles: 90.00 90.00 90.00
With the nearest neighbours (Å) after each atom.
Atoms (fractional coordinates):
Ho: 0.0000 0.0000 0.0000  8 Hg 3.24, 4 Tl 3.42
Tl: 0.5000 0.5000 0.0000  8 Hg 3.24, 4 Ho 3.42
Hg: 0.0000 0.5000 0.5000  4 Tl 3.24, 4 Ho 3.24, 4 Hg 3.42
Hg: 0.5000 0.0000 0.5000  4 Tl 3.24, 4 Ho 3.24, 4 Hg 3.42

Output
symmetry: No. 123

No. 4
Density functional theory data (GGA-PBE) for a geometry-optimized Ho4Tl3Hg structure.

abc: 3.7610 3.7610 15.0934
angles: 90.00 90.00 90.00
With the nearest neighbours (Å) after each atom.
Atoms (fractional coordinates):
Ho: 0.0000 0.0000 0.1183  4 Hg 3.20, 4 Tl 3.28, 1 Ho 3.57
Ho: 0.0000 0.0000 0.3725  8 Tl 3.28
Ho: 0.0000 0.0000 0.6275  8 Tl 3.28
Ho: 0.0000 0.0000 0.8817  4 Hg 3.20, 4 Tl 3.28, 1 Ho 3.57
Tl: 0.5000 0.5000 0.2456  8 Ho 3.28
Tl: 0.5000 0.5000 0.5000  8 Ho 3.28
Tl: 0.5000 0.5000 0.7544  8 Ho 3.28
Hg: 0.5000 0.5000 0.0000  8 Ho 3.20

Output
symmetry: No. 123
E above lowest polymorph: 0.000 eV/atom

No. 5
Density functional theory data (GGA-PBE) for a geometry-optimized Ho5TlHg4 structure.

abc: 3.7173 3.7173 18.6546
angles: 90.00 90.00 90.00
With the nearest neighbours (Å) after each atom.
Atoms (fractional coordinates):
Ho: 0.0000 0.0000 0.0000  8 Hg 3.22
Ho: 0.0000 0.0000 0.1975  8 Hg 3.20
Ho: 0.0000 0.0000 0.3938  4 Hg 3.20, 4 Tl 3.29
Ho: 0.0000 0.0000 0.6062  4 Hg 3.20, 4 Tl 3.29
Ho: 0.0000 0.0000 0.8025  8 Hg 3.20
Tl: 0.5000 0.5000 0.5000  8 Ho 3.29
Hg: 0.5000 0.5000 0.0995  8 Ho 3.20-3.22
Hg: 0.5000 0.5000 0.2957  8 Ho 3.20
Hg: 0.5000 0.5000 0.7043  8 Ho 3.20
Hg: 0.5000 0.5000 0.9005  8 Ho 3.20-3.22

Output
symmetry: No. 123

No. 6
Density functional theory data (GGA-PBE) for a geometry-optimized Ho6TlHg structure.

abc: 5.0523 5.0523 18.1346
angles: 90.00 90.00 90.00
With the nearest neighbours (Å) after each atom.
Atoms (fractional coordinates):
Ho: 0.0000 0.0000 0.2495  12 Ho 3.52-3.57
Ho: 0.0000 0.0000 0.7505  12 Ho 3.52-3.57
Ho: 0.0000 0.5000 0.1142  2 Hg 3.27, 2 Tl 3.27, 8 Ho 3.52-3.57
Ho: 0.0000 0.5000 0.3858  2 Hg 3.27, 2 Tl 3.27, 8 Ho 3.52-3.57
Ho: 0.0000 0.5000 0.6142  2 Hg 3.27, 2 Tl 3.27, 8 Ho 3.52-3.57
Ho: 0.0000 0.5000 0.8858  2 Hg 3.27, 2 Tl 3.27, 8 Ho 3.52-3.57
Ho: 0.5000 0.0000 0.1142  2 Hg 3.27, 2 Tl 3.27, 8 Ho 3.52-3.57
Ho: 0.5000 0.0000 0.3858  2 Hg 3.27, 2 Tl 3.27, 8 Ho 3.52-3.57
Ho: 0.5000 0.0000 0.6142  2 Hg 3.27, 2 Tl 3.27, 8 Ho 3.52-3.57
Ho: 0.5000 0.0000 0.8858  2 Hg 3.27, 2 Tl 3.27, 8 Ho 3.52-3.57
Ho: 0.5000 0.5000 0.2505  12 Ho 3.52-3.57
Ho: 0.5000 0.5000 0.7495  12 Ho 3.52-3.57
Tl: 0.0000 0.0000 0.5000  8 Ho 3.27, 4 Hg 3.57
Tl: 0.5000 0.5000 0.0000  8 Ho 3.27, 4 Hg 3.57
Hg: 0.0000 0.0000 0.0000  8 Ho 3.27, 4 Tl 3.57
Hg: 0.5000 0.5000 0.5000  8 Ho 3.27, 4 Tl 3.57

Output
symmetry: No. 139

No. 7
Density functional theory data (GGA-PBE) for a geometry-optimized Ho4TlHg2 structure.

abc: 10.2287 10.2287 10.2287
angles: 28.22 28.22 28.22
With the nearest neighbours (Å) after each atom.
Atoms (fractional coordinates):
Ho: 0.1202 0.1202 0.1202  3 Tl 3.19, 3 Hg 3.30
Ho: 0.2975 0.2975 0.2975  4 Hg 2.98-3.01
Ho: 0.7025 0.7025 0.7025  4 Hg 2.98-3.01
Ho: 0.8798 0.8798 0.8798  3 Tl 3.19, 3 Hg 3.30
Tl: 0.5000 0.5000 0.5000  2 Hg 2.99, 6 Ho 3.19
Hg: 0.3986 0.3986 0.3986  7 Ho 2.98-3.30, 1 Tl 2.99
Hg: 0.6014 0.6014 0.6014  7 Ho 2.98-3.30, 1 Tl 2.99

Output
symmetry: No. 166
E above lowest polymorph: 0.128 eV/atom

No. 8
Density functional theory data (GGA-PBE) for a geometry-optimized Ho4Tl5Hg structure.

abc: 7.9356 10.0267 7.5091
angles: 90.00 90.00 90.00
With the nearest neighbours (Å) after each atom.
Atoms (fractional coordinates):
Ho: 0.0001 0.2500 0.2095  1 Hg 3.02, 3 Tl 3.06-3.18
Ho: 0.9999 0.7500 0.7905  1 Hg 3.02, 3 Tl 3.06-3.18
Ho: 0.2500 0.0609 0.5311  1 Hg 3.13, 5 Tl 3.23-3.35
Ho: 0.2500 0.4391 0.5311  1 Hg 3.13, 5 Tl 3.23-3.35
Ho: 0.4999 0.2500 0.2095  1 Hg 3.02, 3 Tl 3.06-3.18
Ho: 0.5001 0.7500 0.7905  1 Hg 3.02, 3 Tl 3.06-3.18
Ho: 0.7500 0.5609 0.4689  1 Hg 3.13, 5 Tl 3.23-3.35
Ho: 0.7500 0.9391 0.4689  1 Hg 3.13, 5 Tl 3.23-3.35
Tl: 0.0578 0.5638 0.1867  3 Tl 3.05-3.22, 3 Ho 3.18-3.25, 1 Hg 3.30
Tl: 0.0578 0.9362 0.1867  3 Tl 3.05-3.22, 3 Ho 3.18-3.25, 1 Hg 3.30
Tl: 0.2500 0.2500 0.8997  4 Ho 3.06-3.35, 4 Tl 3.14
Tl: 0.4422 0.5638 0.1867  3 Tl 3.05-3.22, 3 Ho 3.18-3.25, 1 Hg 3.30
Tl: 0.4422 0.9362 0.1867  3 Tl 3.05-3.22, 3 Ho 3.18-3.25, 1 Hg 3.30
Tl: 0.5578 0.0638 0.8133  3 Tl 3.05-3.22, 3 Ho 3.18-3.25, 1 Hg 3.30
Tl: 0.5578 0.4362 0.8133  3 Tl 3.05-3.22, 3 Ho 3.18-3.25, 1 Hg 3.30
Tl: 0.7500 0.7500 0.1003  4 Ho 3.06-3.35, 4 Tl 3.14
Tl: 0.9422 0.0638 0.8133  3 Tl 3.05-3.22, 3 Ho 3.18-3.25, 1 Hg 3.30
Tl: 0.9422 0.4362 0.8133  3 Tl 3.05-3.22, 3 Ho 3.18-3.25, 1 Hg 3.30
Hg: 0.2500 0.7500 0.4871  4 Ho 3.02-3.13, 4 Tl 3.30
Hg: 0.7500 0.2500 0.5129  4 Ho 3.02-3.13, 4 Tl 3.30

Output
symmetry: No. 59
E above lowest polymorph: 0.253 eV/atom

No. 9
Density functional theory data (GGA-PBE) for a geometry-optimized HoTl2Hg structure.

abc: 3.4976 3.4976 34.4511
angles: 90.00 90.00 120.00
With the nearest neighbours (Å) after each atom.
Atoms (fractional coordinates):
Ho: 0.0000 0.0000 0.0000  2 Tl 3.13, 6 Ho 3.50
Ho: 0.3333 0.6667 0.6667  2 Tl 3.13, 6 Ho 3.50
Ho: 0.6667 0.3333 0.3333  2 Tl 3.13, 6 Ho 3.50
Tl: 0.0000 0.0000 0.0909  1 Ho 3.13, 3 Hg 3.30, 6 Tl 3.50
Tl: 0.0000 0.0000 0.9091  1 Ho 3.13, 3 Hg 3.30, 6 Tl 3.50
Tl: 0.3333 0.6667 0.5758  1 Ho 3.13, 3 Hg 3.30, 6 Tl 3.50
Tl: 0.3333 0.6667 0.7575  1 Ho 3.13, 3 Hg 3.30, 6 Tl 3.50
Tl: 0.6667 0.3333 0.2425  1 Ho 3.13, 3 Hg 3.30, 6 Tl 3.50
Tl: 0.6667 0.3333 0.4242  1 Ho 3.13, 3 Hg 3.30, 6 Tl 3.50
Hg: 0.0000 0.0000 0.5000  6 Tl 3.30, 6 Hg 3.50
Hg: 0.3333 0.6667 0.1667  6 Tl 3.30, 6 Hg 3.50
Hg: 0.6667 0.3333 0.8333  6 Tl 3.30, 6 Hg 3.50

Output
symmetry: No. 166

No. 10
Density functional theory data (GGA-PBE) for a geometry-optimized Ho6Tl6Hg structure.

abc: 6.4539 6.4539 10.3769
angles: 90.00 90.00 120.00
With the nearest neighbours (Å) after each atom.
Atoms (fractional coordinates):
Ho: 0.0000 0.0000 0.1862  1 Hg 3.26, 6 Tl 3.29
Ho: 0.0000 0.0000 0.8138  1 Hg 3.26, 6 Tl 3.29
Ho: 0.3333 0.6667 0.0000  6 Tl 3.20
Ho: 0.3333 0.6667 0.5000  6 Tl 3.19
Ho: 0.6667 0.3333 0.0000  6 Tl 3.20
Ho: 0.6667 0.3333 0.5000  6 Tl 3.19
Tl: 0.0000 0.5000 0.2503  6 Ho 3.19-3.29, 4 Tl 3.23
Tl: 0.0000 0.5000 0.7497  6 Ho 3.19-3.29, 4 Tl 3.23
Tl: 0.5000 0.0000 0.2503  6 Ho 3.19-3.29, 4 Tl 3.23
Tl: 0.5000 0.0000 0.7497  6 Ho 3.19-3.29, 4 Tl 3.23
Tl: 0.5000 0.5000 0.2503  6 Ho 3.19-3.29, 4 Tl 3.23
Tl: 0.5000 0.5000 0.7497  6 Ho 3.19-3.29, 4 Tl 3.23
Hg: 0.0000 0.0000 0.5000  2 Ho 3.26

Output
symmetry: No. 191

No. 11
Density functional theory data (GGA-PBE) for a geometry-optimized Ho3TlHg2 structure.

abc: 3.7235 3.7235 11.2404
angles: 90.00 90.00 90.00
With the nearest neighbours (Å) after each atom.
Atoms (fractional coordinates):
Ho: 0.0000 0.0000 0.0000  8 Hg 3.20
Ho: 0.0000 0.0000 0.3249  4 Hg 3.21, 4 Tl 3.29
Ho: 0.0000 0.0000 0.6751  4 Hg 3.21, 4 Tl 3.29
Tl: 0.5000 0.5000 0.5000  8 Ho 3.29
Hg: 0.5000 0.5000 0.1612  8 Ho 3.20-3.21
Hg: 0.5000 0.5000 0.8388  8 Ho 3.20-3.21

Output
symmetry: No. 123

No. 12
Density functional theory data (GGA-PBE) for a geometry-optimized Ho2TlHg9 structure.

abc: 4.5516 4.5516 14.7250
angles: 90.00 90.00 90.00
With the nearest neighbours (Å) after each atom.
Atoms (fractional coordinates):
Ho: 0.0000 0.0000 0.1661  12 Hg 3.21-3.34
Ho: 0.0000 0.0000 0.8339  12 Hg 3.21-3.34
Tl: 0.0000 0.0000 0.5000  12 Hg 3.22-3.50
Hg: 0.0000 0.5000 0.0000  8 Hg 3.19-3.22, 4 Ho 3.34
Hg: 0.0000 0.5000 0.3197  2 Ho 3.21, 8 Hg 3.22-3.50, 2 Tl 3.50
Hg: 0.0000 0.5000 0.6803  2 Ho 3.21, 8 Hg 3.22-3.50, 2 Tl 3.50
Hg: 0.5000 0.0000 0.0000  8 Hg 3.19-3.22, 4 Ho 3.34
Hg: 0.5000 0.0000 0.3197  2 Ho 3.21, 8 Hg 3.22-3.50, 2 Tl 3.50
Hg: 0.5000 0.0000 0.6803  2 Ho 3.21, 8 Hg 3.22-3.50, 2 Tl 3.50
Hg: 0.5000 0.5000 0.1518  8 Hg 3.19-3.36, 4 Ho 3.23
Hg: 0.5000 0.5000 0.5000  4 Tl 3.22, 8 Hg 3.50
Hg: 0.5000 0.5000 0.8482  8 Hg 3.19-3.36, 4 Ho 3.23

Output
symmetry: No. 123

no.,ΔH_f (0 K) (eV per atom)
1,-0.292
2,-0.146
3,-0.271
4,-0.368
5,-0.451
6,-0.192
7,-0.136
8,-0.039
9,0.106
10,-0.177
11,-0.428
12,-0.202